Below is a relaxed structure of GdAl2Pd2, with properties calculated at the PBE level.

As for the total energy: -5.369 eV per atom.

The space group is P4/nmm (No. 129, origin choice 2) and the conventional cell measures 4.279, 4.279 and 10.239 Å, with angles of 90.00, 90.00 and 90.00 degrees. The distinct sites, in fractional coordinates, are Gd at (0.250, 0.250, 0.249), Al at (0.250, 0.250, 0.873), Al at (0.250, 0.750, 0.500), Pd at (0.250, 0.250, 0.633) and Pd at (0.250, 0.750, 0.000).